# AlGePd3 | Alexandria | PBE | optimized geometry
# M_tot = 0.00 μB per formula unit
# relative energy among the computed polymorphs = 711 meV/atom
# calculated volume = 97.4 Å³/cell
# total DFT energy (no corrections) = -4.64 eV per atom
# calculated formation energy = 0.1508 eV/atom
data_AlGePd3
_chemical_formula_sum 'Al1 Ge1 Pd3'
_space_group_name_H-M_alt 'P m -3 m'
_space_group_IT_number 221
_space_group_name_Hall '-P 4 2 3'
_cell_length_a 4.602
_cell_length_b 4.602
_cell_length_c 4.602
_cell_angle_alpha 90.00
_cell_angle_beta 90.00
_cell_angle_gamma 90.00
loop_
_atom_site_label
_atom_site_type_symbol
_atom_site_fract_x
_atom_site_fract_y
_atom_site_fract_z
Al1 Al 0.000 0.000 0.000
Ge1 Ge 0.500 0.500 0.500
Pd1 Pd 0.000 0.500 0.500